YHoPdPt | GGA-PBE | relaxed

Structure (POSCAR):
```
YHoPdPt
1.0
0.000 3.498 3.498
3.498 0.000 3.498
3.498 3.498 0.000
Y Ho Pd Pt
1 1 1 1
Direct
0.000 0.000 0.000
0.500 0.500 0.500
0.250 0.250 0.250
0.750 0.750 0.750
```

Calculated values
energy above the most stable polymorph in this dataset: 35 meV/atom



YHoPdPt | GGA-PBE | relaxed

Structure (POSCAR):
```
YHoPdPt
1.0
4.500 0.000 0.000
0.000 1.886 5.256
0.000 -1.886 5.256
Y Ho Pd Pt
1 1 1 1
Direct
0.000 0.000 0.000
0.500 0.724 0.724
0.000 0.275 0.275
0.500 0.448 0.448
```

Calculated values
energy above the most stable polymorph in this dataset: 0 meV/atom



HoZnPdPt | GGA-PBE | relaxed

Structure (POSCAR):
```
HoZnPdPt
1.0
0.000 3.299 3.299
3.299 0.000 3.299
3.299 3.299 0.000
Ho Zn Pd Pt
1 1 1 1
Direct
0.000 0.000 0.000
0.500 0.500 0.500
0.750 0.750 0.750
0.250 0.250 0.250
```



HoZrPdPt | GGA-PBE | relaxed

Structure (POSCAR):
```
HoZrPdPt
1.0
0.000 3.414 3.414
3.414 0.000 3.414
3.414 3.414 0.000
Ho Zr Pd Pt
1 1 1 1
Direct
0.000 0.000 0.000
0.500 0.500 0.500
0.250 0.250 0.250
0.750 0.750 0.750
```



Ho2PuPd9 | GGA-PBE | relaxed

Structure (POSCAR):
```
Ho2PuPd9
1.0
4.119 0.000 0.000
0.000 4.119 0.000
0.000 0.000 12.384
Ho Pu Pd
2 1 9
Direct
0.000 0.000 0.164
0.000 0.000 0.836
0.000 0.000 0.500
0.000 0.500 0.000
0.000 0.500 0.334
0.000 0.500 0.666
0.500 0.000 0.000
0.500 0.000 0.334
0.500 0.000 0.666
0.500 0.500 0.166
0.500 0.500 0.500
0.500 0.500 0.834
```



Ho4PuPd5 | GGA-PBE | relaxed

Structure (POSCAR):
```
Ho4PuPd5
1.0
3.453 0.000 0.000
0.000 3.453 0.000
0.000 0.000 17.950
Ho Pu Pd
4 1 5
Direct
0.000 0.000 0.099
0.000 0.000 0.298
0.000 0.000 0.702
0.000 0.000 0.901
0.000 0.000 0.500
0.500 0.500 0.000
0.500 0.500 0.197
0.500 0.500 0.390
0.500 0.500 0.610
0.500 0.500 0.803
```



HoPuPd3 | GGA-PBE | relaxed

Structure (POSCAR):
```
HoPuPd3
1.0
8.513 0.000 0.000
0.000 5.554 0.000
-2.483 0.000 8.822
Ho Pu Pd
4 4 12
Direct
0.168 0.222 0.167
0.168 0.278 0.667
0.832 0.722 0.333
0.832 0.778 0.833
0.275 0.745 0.943
0.275 0.755 0.443
0.725 0.245 0.557
0.725 0.255 0.057
0.031 0.707 0.131
0.031 0.793 0.631
0.377 0.245 0.969
0.377 0.255 0.469
0.497 0.001 0.748
0.497 0.499 0.248
0.503 0.501 0.752
0.503 0.999 0.252
0.623 0.745 0.531
0.623 0.755 0.031
0.969 0.207 0.369
0.969 0.293 0.869
```



Ho3PuPd12 | GGA-PBE | relaxed

Structure (POSCAR):
```
Ho3PuPd12
1.0
4.118 0.000 0.000
0.000 4.118 0.000
0.000 0.000 16.495
Ho Pu Pd
3 1 12
Direct
0.000 0.000 0.000
0.000 0.000 0.248
0.000 0.000 0.752
0.000 0.000 0.500
0.000 0.500 0.125
0.000 0.500 0.375
0.000 0.500 0.625
0.000 0.500 0.875
0.500 0.000 0.125
0.500 0.000 0.375
0.500 0.000 0.625
0.500 0.000 0.875
0.500 0.500 0.000
0.500 0.500 0.249
0.500 0.500 0.500
0.500 0.500 0.751
```



HoPuPd2 | GGA-PBE | relaxed

Structure (POSCAR):
```
HoPuPd2
1.0
3.464 0.000 0.000
0.000 3.464 0.000
0.000 0.000 7.197
Ho Pu Pd
1 1 2
Direct
0.000 0.000 0.000
0.000 0.000 0.500
0.500 0.500 0.231
0.500 0.500 0.769
```



HoPu2Pd3 | GGA-PBE | relaxed

Structure (POSCAR):
```
HoPu2Pd3
1.0
3.455 0.000 0.000
0.000 3.455 0.000
0.000 0.000 10.881
Ho Pu Pd
1 2 3
Direct
0.000 0.000 0.000
0.000 0.000 0.333
0.000 0.000 0.667
0.500 0.500 0.153
0.500 0.500 0.500
0.500 0.500 0.847
```



HoPuPd2 | GGA-PBE | relaxed

Structure (POSCAR):
```
HoPuPd2
1.0
2.059 1.189 6.568
-2.059 1.189 6.568
0.000 -2.378 6.568
Ho Pu Pd
1 1 2
Direct
0.000 0.000 0.000
0.500 0.500 0.500
0.251 0.251 0.251
0.749 0.749 0.749
```



HoPuPdRh | GGA-PBE | relaxed

Structure (POSCAR):
```
HoPuPdRh
1.0
0.000 3.464 3.464
3.464 0.000 3.464
3.464 3.464 0.000
Ho Pu Pd Rh
1 1 1 1
Direct
0.000 0.000 0.000
0.500 0.500 0.500
0.750 0.750 0.750
0.250 0.250 0.250
```



Computed D(E_F), in the same sequence as the records: 3.5; 3.2; 2.0; 2.5; 19.4; 14.6; 15.6; 22.7; 11.4; 19.4; 14.9; 11.1 states/eV/f.u..
Computed formation energy from the elements, in the same sequence as the records: -1.069; -1.105; -0.845; -0.896; -0.783; -0.803; -0.631; -0.811; -0.654; -0.572; -0.500; -0.625 eV/atom.
Computed calculated density, in the same sequence as the records: 10.77; 10.34; 12.30; 11.63; 12.11; 11.14; 11.60; 11.97; 11.96; 12.43; 10.70; 12.35 g/cm3.